# BiRhS2N

A relaxed structure of BiRhS2N (PBE, the Alexandria database).

## Properties
Formation energy from raw total energies   7.77 eV per formula unit
Relative energy among the computed polymorphs   1.2867 eV per atom
DOS(E_F)   5.2 states/eV per cell
Calculated total energy   -20.038 eV/f.u.
Size of the total moment   3.92 μB/f.u.

POSCAR file:
```
BiRhS2N
1.0
5.219 0.000 0.000
0.000 5.219 0.000
0.000 0.000 4.304
Bi Rh S N
1 1 2 1
Direct
0.000 0.000 0.000
0.500 0.500 0.500
0.000 0.500 0.000
0.500 0.000 0.000
0.000 0.000 0.500
```